Entry 1:
First-principles (PBE-GGA) data for crystalline Zr2Sc at its relaxed geometry, as listed in OQMD.

Summary:
The calculation puts the volume at 23.314 A^3/atom. As for the formation energy: -0.0219 eV/atom. Its space-group type is Cmcm.

Structure (POSCAR):
```
Zr2Sc
1.0
1.621 -8.391 0.000
1.621 8.391 0.000
0.000 0.000 5.143
Zr Sc
4 2
Direct
0.056 0.944 0.750
0.278 0.722 0.250
0.722 0.278 0.750
0.944 0.056 0.250
0.389 0.611 0.750
0.611 0.389 0.250
```

=====

Entry 2:
First-principles (PBE-GGA) data for crystalline Ta4AlTlC2 at its relaxed geometry, as listed in OQMD.

Summary:
The value obtained for the raw total energy is -9.359 eV/atom. The calculation puts the volume at 15.301 A^3/atom. Its space-group type is P-6m2.

Structure (POSCAR):
```
Ta4AlTlC2
1.0
3.149 0.000 0.000
-1.575 2.727 0.000
0.000 0.000 14.253
Ta Al Tl C
4 1 1 2
Direct
0.000 0.000 0.155
0.000 0.000 0.845
0.667 0.333 0.327
0.667 0.333 0.673
0.667 0.333 0.000
0.000 0.000 0.500
0.333 0.667 0.242
0.333 0.667 0.758
```

=====

Entry 3:
First-principles (PBE-GGA) data for crystalline PmTcNO at its relaxed geometry, as listed in OQMD.

Summary:
The calculation puts the volume at 14.534 A^3/atom. Its relative energy among the computed polymorphs is 0.506 eV per atom. Its space-group type is Pca2_1.

Structure (POSCAR):
```
PmTcNO
1.0
6.303 0.000 0.000
0.000 7.312 0.000
0.000 0.000 5.046
Pm Tc N O
4 4 4 4
Direct
0.062 0.172 0.000
0.438 0.172 0.500
0.562 0.828 0.000
0.938 0.828 0.500
0.134 0.664 0.987
0.366 0.664 0.487
0.634 0.336 0.987
0.866 0.336 0.487
0.052 0.136 0.491
0.448 0.136 0.991
0.552 0.864 0.491
0.948 0.864 0.991
0.099 0.518 0.645
0.401 0.518 0.145
0.599 0.482 0.645
0.901 0.482 0.145
```

=====

Entry 4:
First-principles (PBE-GGA) data for crystalline Na4Ga2CuNi at its relaxed geometry, as listed in OQMD.

Summary:
The value obtained for the raw total energy is -2.417 eV/atom. The calculation puts the volume at 18.205 A^3/atom. Its space-group type is P-4m2.

Structure (POSCAR):
```
Na4Ga2CuNi
1.0
4.685 0.000 0.000
0.000 4.685 0.000
0.000 0.000 6.634
Na Ga Cu Ni
4 2 1 1
Direct
0.000 0.000 0.000
0.000 0.500 0.750
0.500 0.000 0.250
0.500 0.500 0.500
0.000 0.500 0.235
0.500 0.000 0.765
0.000 0.000 0.500
0.500 0.500 0.000
```

=====

Entry 5:
First-principles (PBE-GGA) data for crystalline CsUZn at its relaxed geometry, as listed in OQMD.

Summary:
The value obtained for the raw total energy is -2.900 eV/atom. The calculation puts the volume at 33.096 A^3/atom. Its space-group type is F-43m.

Structure (POSCAR):
```
CsUZn
1.0
0.000 3.675 3.675
3.675 0.000 3.675
3.675 3.675 0.000
Cs U Zn
1 1 1
Direct
0.000 0.000 0.000
0.250 0.250 0.250
0.500 0.500 0.500
```

=====

Entry 6:
First-principles (PBE-GGA) data for crystalline Tm2LuSbO6 at its relaxed geometry, as listed in OQMD.

Summary:
The value obtained for the raw total energy is -7.564 eV/atom. The calculation puts the volume at 14.048 A^3/atom. Its space-group type is P1.

Structure (POSCAR):
```
Tm2LuSbO6
1.0
5.522 0.000 0.000
-0.013 5.772 0.000
-2.643 -2.882 4.407
Tm Lu Sb O
2 1 1 6
Direct
0.000 0.000 0.000
0.393 0.498 0.995
0.198 0.749 0.499
0.697 0.251 0.501
0.049 0.096 0.693
0.049 0.597 0.693
0.343 0.900 0.301
0.344 0.402 0.301
0.595 0.979 0.958
0.795 0.513 0.028
```

=====

What is the formula in the third record?
PmTcNO